Material: V2Bi4O11
Method: DFT, PBE+U
State: optimized geometry

Structure (POSCAR):
```
V2Bi4O11
1.0
5.718 0.000 0.000
0.000 11.492 0.000
-2.490 0.000 7.808
V Bi O
4 8 22
Cartesian
-1.076 0.000 3.689
1.439 8.888 4.116
1.789 3.142 3.691
4.303 5.746 4.118
-1.277 8.716 6.609
-0.738 2.988 6.530
1.109 5.905 1.279
1.643 0.177 1.199
1.585 5.923 6.609
2.119 0.159 6.529
3.966 8.734 1.277
4.504 2.970 1.199
0.015 10.285 0.074
-1.598 0.595 5.245
-2.371 1.631 7.788
-0.255 1.203 2.809
-0.233 5.034 5.165
0.180 10.189 3.902
0.609 3.854 2.644
0.622 7.683 4.995
2.739 7.261 0.018
1.965 8.292 2.562
0.349 10.098 7.733
2.879 4.352 0.074
1.263 2.546 5.246
0.489 1.515 7.790
2.606 1.937 2.812
2.619 9.601 5.164
3.048 4.442 3.906
3.461 10.780 2.643
3.483 6.949 4.998
5.599 7.377 0.020
4.826 6.341 2.562
3.213 4.539 7.734
```

## Properties
relative energy among the computed polymorphs: 3 meV/atom
total energy: -222.668 eV/cell